# 1
## La3ThRh8 (PBE)

Data for a relaxed La3ThRh8 crystal.

## Properties
- ΔE_f: -720 meV/atom
- Crystal system: trigonal

Cell and atoms, written as CIF:
```
data_La3ThRh8
_space_group_name_H-M_alt 'R 3 m'
_space_group_IT_number 160
_space_group_name_Hall 'R 3 -2"'
_cell_length_a 5.4431
_cell_length_b 5.4431
_cell_length_c 26.6082
_cell_angle_alpha 90.00
_cell_angle_beta 90.00
_cell_angle_gamma 120.00
loop_
_atom_site_label
_atom_site_type_symbol
_atom_site_fract_x
_atom_site_fract_y
_atom_site_fract_z
La1 La 0.0000 0.0000 0.0000
La2 La 0.0000 0.0000 0.1238
La3 La 0.0000 0.0000 0.4961
Th1 Th 0.0000 0.0000 0.6224
Rh1 Rh 0.0000 0.0000 0.3104
Rh2 Rh 0.0000 0.0000 0.8105
Rh3 Rh 0.0019 0.5010 0.5616
Rh4 Rh 0.1676 0.3353 0.3927
```

# 2
## YCrSe2N (PBE)

Data for a relaxed YCrSe2N crystal.

## Properties
- Crystal system: tetragonal
- Raw formation energy: 0.32 eV/atom

Cell and atoms, written as CIF:
```
data_YCrSe2N
_space_group_name_H-M_alt 'P 4/m m m'
_space_group_IT_number 123
_space_group_name_Hall '-P 4 2'
_cell_length_a 5.5003
_cell_length_b 5.5003
_cell_length_c 4.3636
_cell_angle_alpha 90.00
_cell_angle_beta 90.00
_cell_angle_gamma 90.00
loop_
_atom_site_label
_atom_site_type_symbol
_atom_site_fract_x
_atom_site_fract_y
_atom_site_fract_z
Y1 Y 0.0000 0.0000 0.0000
Cr1 Cr 0.5000 0.5000 0.5000
Se1 Se 0.0000 0.5000 0.0000
N1 N 0.0000 0.0000 0.5000
```

# 3
## ZrBeTl2Ge (PBE)

Data for a relaxed ZrBeTl2Ge crystal.

## Properties
- ΔE_f: 423 meV/atom
- Crystal system: tetragonal

Cell and atoms, written as CIF:
```
data_ZrBeTl2Ge
_space_group_name_H-M_alt 'P 4/m m m'
_space_group_IT_number 123
_space_group_name_Hall '-P 4 2'
_cell_length_a 4.6534
_cell_length_b 4.6534
_cell_length_c 5.0882
_cell_angle_alpha 90.00
_cell_angle_beta 90.00
_cell_angle_gamma 90.00
loop_
_atom_site_label
_atom_site_type_symbol
_atom_site_fract_x
_atom_site_fract_y
_atom_site_fract_z
Zr1 Zr 0.0000 0.0000 0.0000
Be1 Be 0.0000 0.0000 0.5000
Tl1 Tl 0.0000 0.5000 0.5000
Ge1 Ge 0.5000 0.5000 0.0000
```

# 4
## CeMoN2 (PBE)

Data for a relaxed CeMoN2 crystal.

## Properties
- Crystal system: tetragonal
- Raw formation energy: -0.22 eV/atom

Cell and atoms, written as CIF:
```
data_CeMoN2
_space_group_name_H-M_alt 'P 4/m m m'
_space_group_IT_number 123
_space_group_name_Hall '-P 4 2'
_cell_length_a 2.8306
_cell_length_b 2.8306
_cell_length_c 5.8586
_cell_angle_alpha 90.00
_cell_angle_beta 90.00
_cell_angle_gamma 90.00
loop_
_atom_site_label
_atom_site_type_symbol
_atom_site_fract_x
_atom_site_fract_y
_atom_site_fract_z
Ce1 Ce 0.0000 0.0000 0.0000
Mo1 Mo 0.0000 0.0000 0.5000
N1 N 0.5000 0.5000 0.2882
```

# 5
## ErGaAg3 (PBE)

Data for a relaxed ErGaAg3 crystal.

## Properties
- ΔE_f: -139 meV/atom
- Crystal system: orthorhombic

Cell and atoms, written as CIF:
```
data_ErGaAg3
_space_group_name_H-M_alt 'C m m m'
_space_group_IT_number 65
_space_group_name_Hall '-C 2 2'
_cell_length_a 4.5215
_cell_length_b 25.9316
_cell_length_c 3.5425
_cell_angle_alpha 90.00
_cell_angle_beta 90.00
_cell_angle_gamma 90.00
loop_
_atom_site_label
_atom_site_type_symbol
_atom_site_fract_x
_atom_site_fract_y
_atom_site_fract_z
Er1 Er 0.0000 0.1687 0.0000
Ga1 Ga 0.0000 0.3765 0.5000
Ag1 Ag 0.0000 0.0584 0.5000
Ag2 Ag 0.0000 0.2778 0.5000
Ag3 Ag 0.0000 0.4488 0.0000
```

# 6
## MgNiW (PBE)

Data for a relaxed MgNiW crystal.

## Properties
- ΔE_f: 212 meV/atom
- Crystal system: triclinic

Cell and atoms, written as CIF:
```
data_MgNiW
_space_group_name_H-M_alt 'P 1'
_space_group_IT_number 1
_cell_length_a 2.7018
_cell_length_b 5.3865
_cell_length_c 6.5133
_cell_angle_alpha 77.67
_cell_angle_beta 81.15
_cell_angle_gamma 77.66
loop_
_space_group_symop_operation_xyz
'x,y,z'
loop_
_atom_site_label
_atom_site_type_symbol
_atom_site_fract_x
_atom_site_fract_y
_atom_site_fract_z
Mg1 Mg 0.0000 0.0000 0.0000
Mg2 Mg 0.2053 0.1024 0.3982
Ni1 Ni 0.7024 0.8436 0.7081
Ni2 Ni 0.9279 0.6445 0.3665
W1 W 0.4143 0.4115 0.6962
W2 W 0.6119 0.5018 0.0615
```

# 7
## BiSeCl (PBE)

Data for a relaxed BiSeCl crystal.

## Properties
- Crystal system: monoclinic
- Raw formation energy: -0.59 eV/atom

Cell and atoms, written as CIF:
```
data_BiSeCl
_space_group_name_H-M_alt 'P 1 m 1'
_space_group_IT_number 6
_cell_length_a 7.2663
_cell_length_b 4.0692
_cell_length_c 7.5825
_cell_angle_alpha 90.00
_cell_angle_beta 112.47
_cell_angle_gamma 90.00
loop_
_space_group_symop_operation_xyz
'x,y,z'
'x,-y,z'
loop_
_atom_site_label
_atom_site_type_symbol
_atom_site_fract_x
_atom_site_fract_y
_atom_site_fract_z
Bi1 Bi 0.0000 0.0000 0.0000
Bi2 Bi 0.3197 0.5000 0.5237
Se1 Se 0.0497 0.5000 0.7801
Se2 Se 0.3917 0.0000 0.2964
Cl1 Cl 0.5483 0.0000 0.8056
Cl2 Cl 0.9345 0.5000 0.2826
```

# 8
## TmZrTi2 (PBE)

Data for a relaxed TmZrTi2 crystal.

## Properties
- ΔE_f: 196 meV/atom
- Crystal system: tetragonal

Cell and atoms, written as CIF:
```
data_TmZrTi2
_space_group_name_H-M_alt 'P 4/m m m'
_space_group_IT_number 123
_space_group_name_Hall '-P 4 2'
_cell_length_a 4.4591
_cell_length_b 4.4591
_cell_length_c 4.3137
_cell_angle_alpha 90.00
_cell_angle_beta 90.00
_cell_angle_gamma 90.00
loop_
_atom_site_label
_atom_site_type_symbol
_atom_site_fract_x
_atom_site_fract_y
_atom_site_fract_z
Tm1 Tm 0.0000 0.0000 0.0000
Zr1 Zr 0.5000 0.5000 0.0000
Ti1 Ti 0.0000 0.5000 0.5000
```